Here is a geometry-optimized SrHF structure from Alexandria via LeMat-Bulk. Energies are from PBE-GGA.

The structure in extended XYZ format:
```
6
Lattice="3.453 0.000 0.000 0.000 3.453 0.000 0.000 0.000 7.310" Properties=species:S:1:pos:R:3 pbc="T T T"
Sr 0.000 0.000 0.000
Sr 1.727 1.727 3.655
H 0.000 0.000 4.824
H 1.727 1.727 1.169
F 0.000 0.000 2.525
F 1.727 1.727 6.180
```

Values from the calculation:
Polymorph energy (0 for the lowest one), meV per atom: 277

Here is a geometry-optimized Sr7H12F2 structure from Alexandria via LeMat-Bulk. Energies are from PBE-GGA.

The structure in extended XYZ format:
```
21
Lattice="9.809 0.000 0.000 -4.905 8.495 0.000 0.000 0.000 3.766" Properties=species:S:1:pos:R:3 pbc="T T T"
Sr 0.000 0.000 0.000
Sr -2.213 6.104 1.883
Sr 0.725 3.527 1.883
Sr 3.543 1.058 0.000
Sr 1.488 7.360 1.883
Sr 4.049 4.897 0.000
Sr 7.121 2.540 0.000
H -1.721 3.726 1.883
H -0.267 2.382 0.000
H -2.708 7.535 0.000
H 1.579 1.037 1.883
H -0.817 8.122 1.883
H 2.345 3.158 0.000
H 2.538 5.142 1.883
H 5.902 0.452 0.000
H 2.975 7.072 0.000
H 8.122 0.849 1.883
H 5.013 6.609 1.883
H 6.467 4.886 0.000
F 0.000 5.663 0.000
F 4.905 2.832 1.883
```

Values from the calculation:
Uncorrected energy, eV for the cell shown: -76.62

Here is a geometry-optimized SrH3F structure from Alexandria via LeMat-Bulk. Energies are from PBE-GGA.

The structure in extended XYZ format:
```
5
Lattice="3.932 0.000 0.000 0.000 3.932 0.000 0.000 0.000 3.932" Properties=species:S:1:pos:R:3 pbc="T T T"
Sr 0.000 0.000 0.000
H 0.000 1.966 1.966
H 1.966 0.000 1.966
H 1.966 1.966 0.000
F 1.966 1.966 1.966
```

Values from the calculation:
Polymorph energy (0 for the lowest one), meV per atom: 0

Here is a geometry-optimized SrHF6 structure from Alexandria via LeMat-Bulk. Energies are from PBE-GGA.

The structure in extended XYZ format:
```
8
Lattice="4.503 0.000 0.000 2.242 3.925 0.000 0.212 1.637 6.582" Properties=species:S:1:pos:R:3 pbc="T T T"
Sr 0.000 0.000 0.000
H 0.106 0.819 3.291
F 2.759 4.134 2.414
F 2.454 2.942 6.054
F 2.419 1.418 1.394
F 4.538 4.144 5.188
F 4.503 2.619 0.528
F 4.198 1.428 4.168
```

Values from the calculation:
Uncorrected energy, eV for the cell shown: -30.03

Here is a geometry-optimized Sr2HF structure from Alexandria via LeMat-Bulk. Energies are from PBE-GGA.

The structure in extended XYZ format:
```
12
Lattice="3.922 0.000 0.000 -1.961 3.396 0.000 0.000 0.000 19.476" Properties=species:S:1:pos:R:3 pbc="T T T"
Sr 0.000 0.000 4.811
Sr 0.000 0.000 14.665
Sr 0.000 2.264 8.173
Sr 0.000 2.264 17.795
Sr 1.961 1.132 1.681
Sr 1.961 1.132 11.303
H 0.000 0.000 9.738
H 0.000 2.264 3.246
H 1.961 1.132 16.230
F 0.000 0.000 0.000
F 0.000 2.264 12.984
F 1.961 1.132 6.492
```

Values from the calculation:
Polymorph energy (0 for the lowest one), meV per atom: 145

Here is a geometry-optimized SrTaHF2 structure from Alexandria via LeMat-Bulk. Energies are from PBE-GGA.

The structure in extended XYZ format:
```
5
Lattice="4.419 0.000 0.000 0.000 4.419 0.000 0.000 0.000 8.509" Properties=species:S:1:pos:R:3 pbc="T T T"
Sr 0.000 0.000 0.000
Ta 0.000 0.000 4.255
H 2.210 2.210 4.255
F 0.000 2.210 0.000
F 2.210 0.000 0.000
```

Values from the calculation:
Uncorrected energy, eV for the cell shown: -22.57

Here is a geometry-optimized SrTlH2F8 structure from Alexandria via LeMat-Bulk. Energies are from PBE-GGA.

The structure in extended XYZ format:
```
12
Lattice="4.462 0.000 0.000 0.000 8.493 0.000 -1.884 0.000 4.164" Properties=species:S:1:pos:R:3 pbc="T T T"
Sr 0.000 0.000 0.000
Tl 0.000 4.246 0.000
H 1.289 2.318 2.082
H 1.289 6.175 2.082
F 0.613 2.291 1.149
F 0.613 6.202 1.149
F -0.139 4.246 3.039
F 0.292 0.000 3.034
F 2.285 0.000 1.131
F 2.716 4.246 1.126
F 1.965 2.291 3.015
F 1.965 6.202 3.015
```

Values from the calculation:
Uncorrected energy, eV for the cell shown: -50.37

Here is a geometry-optimized Sr2ZnHF structure from Alexandria via LeMat-Bulk. Energies are from PBE-GGA.

The structure in extended XYZ format:
```
5
Lattice="6.009 0.000 0.000 0.000 6.009 0.000 0.000 0.000 4.474" Properties=species:S:1:pos:R:3 pbc="T T T"
Sr 0.000 3.005 0.000
Sr 3.005 0.000 0.000
Zn 0.000 0.000 0.000
H 3.005 3.005 2.237
F 0.000 0.000 2.237
```

Values from the calculation:
Uncorrected energy, eV for the cell shown: -11.38

Here is a geometry-optimized TaHF2 structure from Alexandria via LeMat-Bulk. Energies are from PBE-GGA.

The structure in extended XYZ format:
```
12
Lattice="2.871 0.000 0.000 -1.436 2.487 0.000 0.000 0.000 18.256" Properties=species:S:1:pos:R:3 pbc="T T T"
Ta 0.000 0.000 0.000
Ta 0.000 1.658 12.171
Ta 1.436 0.829 6.085
H 0.000 0.000 9.128
H 0.000 1.658 3.043
H 1.436 0.829 15.214
F 0.000 0.000 2.018
F 0.000 0.000 16.238
F 0.000 1.658 10.153
F 0.000 1.658 14.189
F 1.436 0.829 4.067
F 1.436 0.829 8.104
```

Values from the calculation:
Polymorph energy (0 for the lowest one), meV per atom: 235

Here is a geometry-optimized TaHF2 structure from Alexandria via LeMat-Bulk. Energies are from PBE-GGA.

The structure in extended XYZ format:
```
16
Lattice="5.364 0.000 0.000 0.000 5.364 0.000 0.000 0.000 5.364" Properties=species:S:1:pos:R:3 pbc="T T T"
Ta 0.000 0.000 0.000
Ta 0.000 2.682 2.682
Ta 2.682 0.000 2.682
Ta 2.682 2.682 0.000
H 0.000 0.000 2.682
H 0.000 2.682 0.000
H 2.682 0.000 0.000
H 2.682 2.682 2.682
F 1.341 1.341 1.341
F 1.341 1.341 4.023
F 1.341 4.023 1.341
F 1.341 4.023 4.023
F 4.023 1.341 1.341
F 4.023 1.341 4.023
F 4.023 4.023 1.341
F 4.023 4.023 4.023
```

Values from the calculation:
Polymorph energy (0 for the lowest one), meV per atom: 196

Here is a geometry-optimized Ta4HF2 structure from Alexandria via LeMat-Bulk. Energies are from PBE-GGA.

The structure in extended XYZ format:
```
14
Lattice="4.213 0.000 0.000 0.000 4.213 0.000 0.000 0.000 10.674" Properties=species:S:1:pos:R:3 pbc="T T T"
Ta 0.000 0.000 2.201
Ta 0.000 0.000 8.474
Ta 0.000 2.107 0.000
Ta 0.000 2.107 5.337
Ta 2.107 0.000 0.000
Ta 2.107 0.000 5.337
Ta 2.107 2.107 3.137
Ta 2.107 2.107 7.538
H 0.000 0.000 0.000
H 2.107 2.107 5.337
F 0.000 0.000 4.322
F 0.000 0.000 6.353
F 2.107 2.107 1.016
F 2.107 2.107 9.659
```

Values from the calculation:
Uncorrected energy, eV for the cell shown: -110.79

Here is a geometry-optimized TaHF2 structure from Alexandria via LeMat-Bulk. Energies are from PBE-GGA.

The structure in extended XYZ format:
```
12
Lattice="2.834 0.000 0.000 -1.417 2.454 0.000 0.000 0.000 19.196" Properties=species:S:1:pos:R:3 pbc="T T T"
Ta 0.000 0.000 0.000
Ta 0.000 1.636 12.797
Ta 1.417 0.818 6.399
H 0.000 0.000 9.598
H 0.000 1.636 3.199
H 1.417 0.818 15.996
F 0.000 0.000 8.446
F 0.000 0.000 10.750
F 0.000 1.636 2.047
F 0.000 1.636 4.351
F 1.417 0.818 14.844
F 1.417 0.818 17.148
```

Values from the calculation:
Polymorph energy (0 for the lowest one), meV per atom: 0

Computed D(E_F) (states/eV/cell) in order:
0.00 0.00 0.48 2.71 7.17 5.52 2.58 3.39 5.04 4.12 6.36 3.52